No. 1
# GGA-PBE Al3CdS, optimized geometry
data_Al3CdS
_space_group_name_H-M_alt 'P m -3 m'
_space_group_IT_number 221
_space_group_name_Hall '-P 4 2 3'
_cell_length_a 5.016
_cell_length_b 5.016
_cell_length_c 5.016
_cell_angle_alpha 90.00
_cell_angle_beta 90.00
_cell_angle_gamma 90.00
loop_
_atom_site_label
_atom_site_fract_x
_atom_site_fract_y
_atom_site_fract_z
Al1 0.000 0.000 0.500
Cd1 0.000 0.000 0.000
S1 0.500 0.500 0.500
# - energy relative to the lowest polymorph listed for this composition (meV per atom) = 301
# - formation energy without anion corrections (eV/atom) = 0.6637
# - density of states at the Fermi level (states/eV/cell) = 1.6
# - calculated density (g/cm3) = 2.966

No. 2
# GGA-PBE SrCaLa2, optimized geometry
data_SrCaLa2
_space_group_name_H-M_alt 'I -4 2 d'
_space_group_IT_number 122
_space_group_name_Hall 'I -4 2bw'
_cell_length_a 9.684
_cell_length_b 9.684
_cell_length_c 7.018
_cell_angle_alpha 90.00
_cell_angle_beta 90.00
_cell_angle_gamma 90.00
loop_
_atom_site_label
_atom_site_fract_x
_atom_site_fract_y
_atom_site_fract_z
Sr1 0.000 0.000 0.000
Ca1 0.000 0.000 0.500
La1 0.246 0.250 0.625
# - energy relative to the lowest polymorph listed for this composition (meV per atom) = 339
# - energy of formation from the pure elements (kJ/mol of atoms) = 36.9
# - density of states at the Fermi level (states/eV/cell) = 28.8
# - calculated density (g/cm3) = 4.092

No. 3
# GGA-PBE GdYMnPd, optimized geometry
data_GdYMnPd
_space_group_name_H-M_alt 'F -4 3 m'
_space_group_IT_number 216
_space_group_name_Hall 'F -4 2 3'
_cell_length_a 7.100
_cell_length_b 7.100
_cell_length_c 7.100
_cell_angle_alpha 90.00
_cell_angle_beta 90.00
_cell_angle_gamma 90.00
loop_
_atom_site_label
_atom_site_fract_x
_atom_site_fract_y
_atom_site_fract_z
Gd1 0.000 0.000 0.000
Y1 0.000 0.000 0.500
Mn1 0.250 0.250 0.250
Pd1 0.250 0.250 0.750
# - energy of formation from the pure elements (kJ/mol of atoms) = -21.9
# - density of states at the Fermi level (states/eV/cell) = 18.8
# - calculated density (g/cm3) = 7.563

No. 4
# GGA-PBE Al2CoIr, optimized geometry
data_Al2CoIr
_space_group_name_H-M_alt 'F -4 3 m'
_space_group_IT_number 216
_space_group_name_Hall 'F -4 2 3'
_cell_length_a 5.997
_cell_length_b 5.997
_cell_length_c 5.997
_cell_angle_alpha 90.00
_cell_angle_beta 90.00
_cell_angle_gamma 90.00
loop_
_atom_site_label
_atom_site_fract_x
_atom_site_fract_y
_atom_site_fract_z
Al1 0.000 0.000 0.000
Al2 0.250 0.250 0.250
Co1 0.000 0.000 0.500
Ir1 0.250 0.250 0.750
# - energy relative to the lowest polymorph listed for this composition (meV per atom) = 494
# - energy of formation from the pure elements (kJ/mol of atoms) = -28.0
# - density of states at the Fermi level (states/eV/cell) = 18.2
# - calculated density (g/cm3) = 9.399

No. 5
# GGA-PBE Tb2Y5Pd4, optimized geometry
data_Tb2Y5Pd4
_space_group_name_H-M_alt 'C 1 2/m 1'
_space_group_IT_number 12
_space_group_name_Hall '-C 2y'
_cell_length_a 24.701
_cell_length_b 3.619
_cell_length_c 6.786
_cell_angle_alpha 90.00
_cell_angle_beta 91.79
_cell_angle_gamma 90.00
loop_
_atom_site_label
_atom_site_fract_x
_atom_site_fract_y
_atom_site_fract_z
Tb1 0.091 0.000 0.166
Y1 0.000 0.500 0.500
Y2 0.134 0.000 0.677
Y3 0.236 0.000 0.251
Pd1 0.025 0.000 0.814
Pd2 0.170 0.500 0.996
# - energy of formation from the pure elements (kJ/mol of atoms) = -39.7
# - density of states at the Fermi level (states/eV/cell) = 22.3
# - calculated density (g/cm3) = 6.508

No. 6
# GGA-PBE Pr3Ho4Tm5, optimized geometry
data_Pr3Ho4Tm5
_space_group_name_H-M_alt 'C 1 2/m 1'
_space_group_IT_number 12
_space_group_name_Hall '-C 2y'
_cell_length_a 15.897
_cell_length_b 5.909
_cell_length_c 9.270
_cell_angle_alpha 90.00
_cell_angle_beta 116.29
_cell_angle_gamma 90.00
loop_
_atom_site_label
_atom_site_fract_x
_atom_site_fract_y
_atom_site_fract_z
Pr1 0.000 0.000 0.000
Pr2 0.210 0.500 0.234
Ho1 0.082 0.500 0.443
Ho2 0.208 0.500 0.877
Tm1 0.000 0.500 0.000
Tm2 0.072 0.000 0.695
Tm3 0.171 0.000 0.386
# - energy relative to the lowest polymorph listed for this composition (meV per atom) = 221
# - energy of formation from the pure elements (kJ/mol of atoms) = 23.7
# - density of states at the Fermi level (states/eV/cell) = 38.1
# - calculated density (g/cm3) = 8.198